Below is crystalline Ba3Li2GeO6 at its relaxed geometry, with properties calculated at the GGA-PBE level.

CIF file:
```
data_Ba3Li2GeO6
_space_group_name_H-M_alt 'P -3 m 1'
_space_group_IT_number 164
_space_group_name_Hall '-P 3 2"'
_cell_length_a 5.8555
_cell_length_b 5.8555
_cell_length_c 6.6635
_cell_angle_alpha 90.00
_cell_angle_beta 90.00
_cell_angle_gamma 120.00
loop_
_atom_site_label
_atom_site_fract_x
_atom_site_fract_y
_atom_site_fract_z
Ba1 0.0000 0.0000 0.0000
Ba2 0.3333 0.6667 0.6459
Li1 0.3333 0.6667 0.2433
Ge1 0.0000 0.0000 0.5000
O1 0.1585 0.3170 0.3250
```

Computed properties:
Its formation energy from raw total energies is -2.104 eV/atom. Its crystal system is trigonal. Its total energy is -69.22 eV per formula unit.